# 1
Compound: PmSbIr2
Source: the Alexandria database
Functional: PBE-GGA
Structure: optimized geometry Values from VASP.

```
&SYSTEM
  ibrav = 0, nat = 4, ntyp = 3
/
ATOMIC_SPECIES
Sb 121.76 Sb.upf
Ir 192.22 Ir.upf
Pm 145.00 Pm.upf
CELL_PARAMETERS angstrom
3.955 0.000 0.000
0.000 4.456 0.000
0.000 0.000 4.456
ATOMIC_POSITIONS crystal
Sb 0.500 0.000 0.000
Ir 0.000 0.500 0.000
Ir 0.000 0.000 0.500
Pm 0.500 0.500 0.500
```

Values from the calculation:
energy relative to the elements, uncorrected: -330 meV per atom
DOS at the Fermi energy: 0.620 states/eV/atom
size of the total moment: 0.000 μB/cell
crystal system: tetragonal
VASP energy: -6.979 eV per atom

***

# 2
Compound: Pm4SbIr2
Source: the Alexandria database
Functional: PBE-GGA
Structure: optimized geometry Values from VASP.

```
&SYSTEM
  ibrav = 0, nat = 14, ntyp = 3
/
ATOMIC_SPECIES
Pm 145.00 Pm.upf
Sb 121.76 Sb.upf
Ir 192.22 Ir.upf
CELL_PARAMETERS angstrom
-2.592 -7.821 -0.261
8.069 -0.040 -1.689
-1.397 3.261 7.440
ATOMIC_POSITIONS crystal
Pm 0.468 0.653 0.815
Pm 0.347 0.532 0.186
Sb 0.249 0.749 0.500
Pm 0.412 0.097 0.315
Pm 0.903 0.589 0.685
Ir 0.625 0.375 0.750
Ir 0.625 0.375 0.250
Ir 0.125 0.375 0.750
Sb 0.001 0.001 0.000
Pm 0.347 0.161 0.814
Pm 0.903 0.218 0.315
Pm 0.782 0.097 0.685
Ir 0.625 0.875 0.250
Pm 0.838 0.653 0.185
```

Values from the calculation:
energy relative to the elements, uncorrected: -619 meV per atom
DOS at the Fermi energy: 0.809 states/eV/atom
size of the total moment: 0.000 μB/cell
crystal system: orthorhombic
VASP energy: -6.454 eV per atom

***

# 3
Compound: PmSb2Ir
Source: the Alexandria database
Functional: PBE-GGA
Structure: optimized geometry Values from VASP.

```
&SYSTEM
  ibrav = 0, nat = 4, ntyp = 3
/
ATOMIC_SPECIES
Sb 121.76 Sb.upf
Pm 145.00 Pm.upf
Ir 192.22 Ir.upf
CELL_PARAMETERS angstrom
4.201 0.000 0.000
0.000 4.647 0.000
0.000 0.000 4.647
ATOMIC_POSITIONS crystal
Sb 0.000 0.000 0.500
Sb 0.000 0.500 0.000
Pm 0.500 0.000 0.000
Ir 0.500 0.500 0.500
```

Values from the calculation:
energy relative to the elements, uncorrected: -310 meV per atom
DOS at the Fermi energy: 0.583 states/eV/atom
size of the total moment: 0.000 μB/cell
excess energy over the best structure of this formula in the dataset: 0 meV per atom
crystal system: tetragonal
VASP energy: -5.774 eV per atom

***

# 4
Compound: PmSbIr2
Source: the Alexandria database
Functional: PBE-GGA
Structure: optimized geometry Values from VASP.

```
&SYSTEM
  ibrav = 0, nat = 4, ntyp = 3
/
ATOMIC_SPECIES
Ir 192.22 Ir.upf
Pm 145.00 Pm.upf
Sb 121.76 Sb.upf
CELL_PARAMETERS angstrom
4.507 0.000 0.000
2.254 3.903 0.000
2.254 1.301 4.916
ATOMIC_POSITIONS crystal
Ir 0.208 0.208 0.376
Pm 0.000 0.000 0.000
Sb 0.500 0.500 0.500
Ir 0.792 0.792 0.624
```

Values from the calculation:
energy relative to the elements, uncorrected: -408 meV per atom
DOS at the Fermi energy: 0.560 states/eV/atom
size of the total moment: 0.000 μB/cell
crystal system: trigonal
VASP energy: -7.057 eV per atom

***

# 5
Compound: Pm8Sb2Ir3
Source: the Alexandria database
Functional: PBE-GGA
Structure: optimized geometry Values from VASP.

```
&SYSTEM
  ibrav = 0, nat = 13, ntyp = 3
/
ATOMIC_SPECIES
Ir 192.22 Ir.upf
Pm 145.00 Pm.upf
Sb 121.76 Sb.upf
CELL_PARAMETERS angstrom
-4.596 -1.750 -0.601
3.707 -9.118 -1.807
-2.214 2.921 8.426
ATOMIC_POSITIONS crystal
Ir 0.000 0.250 0.000
Pm 0.500 0.133 0.776
Pm 0.000 0.391 0.782
Pm 0.000 0.609 0.218
Sb 0.500 0.743 0.487
Pm 0.500 0.867 0.224
Pm 0.000 0.114 0.227
Pm 0.000 0.886 0.773
Pm 0.500 0.356 0.223
Ir 0.000 0.750 0.000
Ir 0.500 0.000 0.000
Sb 0.500 0.257 0.513
Pm 0.500 0.644 0.777
```

Values from the calculation:
energy relative to the elements, uncorrected: -660 meV per atom
DOS at the Fermi energy: 0.756 states/eV/atom
size of the total moment: 0.000 μB/cell
crystal system: orthorhombic
VASP energy: -6.262 eV per atom

***

# 6
Compound: Pm4SbIr
Source: the Alexandria database
Functional: PBE-GGA
Structure: optimized geometry Values from VASP.

```
&SYSTEM
  ibrav = 0, nat = 12, ntyp = 3
/
ATOMIC_SPECIES
Ir 192.22 Ir.upf
Pm 145.00 Pm.upf
Sb 121.76 Sb.upf
CELL_PARAMETERS angstrom
-2.050 -4.198 -4.186
2.207 -4.990 3.924
-6.413 1.866 5.981
ATOMIC_POSITIONS crystal
Ir 0.266 0.250 0.571
Pm 0.602 0.250 0.885
Sb 0.789 0.750 0.952
Pm 0.433 0.750 0.596
Sb 0.211 0.250 0.048
Pm 0.398 0.750 0.115
Ir 0.734 0.750 0.429
Pm 0.991 0.500 0.292
Pm 0.009 0.500 0.708
Pm 0.567 0.250 0.404
Pm 0.991 0.000 0.292
Pm 0.009 0.000 0.708
```

Values from the calculation:
energy relative to the elements, uncorrected: -668 meV per atom
DOS at the Fermi energy: 0.868 states/eV/atom
size of the total moment: 0.000 μB/cell
excess energy over the best structure of this formula in the dataset: 0 meV per atom
crystal system: monoclinic
VASP energy: -5.999 eV per atom

***

# 7
Compound: Pm8SbIr2
Source: the Alexandria database
Functional: PBE-GGA
Structure: optimized geometry Values from VASP.

```
&SYSTEM
  ibrav = 0, nat = 11, ntyp = 3
/
ATOMIC_SPECIES
Sb 121.76 Sb.upf
Pm 145.00 Pm.upf
Ir 192.22 Ir.upf
CELL_PARAMETERS angstrom
5.774 0.006 0.009
-0.943 7.932 -0.159
-0.943 -3.201 7.259
ATOMIC_POSITIONS crystal
Sb 0.500 0.000 0.000
Pm 0.092 0.330 0.072
Pm 0.297 0.615 0.615
Pm 0.500 0.753 0.247
Pm 0.908 0.928 0.670
Pm 0.500 0.247 0.753
Ir 0.000 0.308 0.692
Ir 0.000 0.692 0.308
Pm 0.703 0.385 0.385
Pm 0.092 0.072 0.330
Pm 0.908 0.670 0.928
```

Values from the calculation:
energy relative to the elements, uncorrected: -437 meV per atom
DOS at the Fermi energy: 1.160 states/eV/atom
size of the total moment: 0.000 μB/cell
crystal system: monoclinic
VASP energy: -5.878 eV per atom

***

# 8
Compound: Pm3Sb4Ir2
Source: the Alexandria database
Functional: PBE-GGA
Structure: optimized geometry Values from VASP.

```
&SYSTEM
  ibrav = 0, nat = 9, ntyp = 3
/
ATOMIC_SPECIES
Sb 121.76 Sb.upf
Pm 145.00 Pm.upf
Ir 192.22 Ir.upf
CELL_PARAMETERS angstrom
4.686 0.000 0.000
-2.343 5.492 -1.441
0.000 0.265 9.024
ATOMIC_POSITIONS crystal
Sb 0.296 0.592 0.939
Pm 0.000 0.000 0.000
Sb 0.704 0.408 0.061
Sb 0.036 0.071 0.355
Pm 0.326 0.651 0.361
Pm 0.674 0.349 0.639
Sb 0.964 0.929 0.645
Ir 0.620 0.240 0.305
Ir 0.380 0.760 0.695
```

Values from the calculation:
energy relative to the elements, uncorrected: -697 meV per atom
DOS at the Fermi energy: 0.391 states/eV/atom
size of the total moment: 0.000 μB/cell
crystal system: monoclinic
VASP energy: -6.082 eV per atom

***

# 9
Compound: Pm2ScSb3Ir4
Source: the Alexandria database
Functional: PBE-GGA
Structure: optimized geometry Values from VASP.

```
&SYSTEM
  ibrav = 0, nat = 10, ntyp = 4
/
ATOMIC_SPECIES
Ir 192.22 Ir.upf
Sc 44.96 Sc.upf
Sb 121.76 Sb.upf
Pm 145.00 Pm.upf
CELL_PARAMETERS angstrom
4.301 0.000 0.000
0.000 4.301 0.000
0.000 0.000 11.534
ATOMIC_POSITIONS crystal
Ir 0.500 0.500 0.000
Sc 0.500 0.500 0.500
Ir 0.000 0.500 0.359
Sb 0.500 0.000 0.865
Pm 0.500 0.000 0.238
Pm 0.000 0.500 0.762
Sb 0.000 0.000 0.500
Sb 0.000 0.500 0.135
Ir 0.500 0.000 0.641
Ir 0.000 0.000 0.000
```

Values from the calculation:
energy relative to the elements, uncorrected: -716 meV per atom
DOS at the Fermi energy: 0.564 states/eV/atom
size of the total moment: 0.000 μB/cell
crystal system: tetragonal
VASP energy: -7.081 eV per atom

***

# 10
Compound: Pm6SbTe3Ir2
Source: the Alexandria database
Functional: PBE-GGA
Structure: optimized geometry Values from VASP.

```
&SYSTEM
  ibrav = 0, nat = 12, ntyp = 4
/
ATOMIC_SPECIES
Te 127.60 Te.upf
Pm 145.00 Pm.upf
Ir 192.22 Ir.upf
Sb 121.76 Sb.upf
CELL_PARAMETERS angstrom
4.312 0.000 0.000
0.000 8.974 0.117
-2.156 -2.801 9.277
ATOMIC_POSITIONS crystal
Te 0.500 0.500 0.000
Te 0.160 0.839 0.320
Pm 0.983 0.744 0.966
Ir 0.170 0.340 0.339
Pm 0.677 0.565 0.354
Pm 0.323 0.435 0.646
Pm 0.330 0.877 0.660
Pm 0.017 0.256 0.034
Ir 0.830 0.660 0.661
Pm 0.670 0.123 0.340
Te 0.840 0.161 0.680
Sb 0.500 0.000 0.000
```

Values from the calculation:
energy relative to the elements, uncorrected: -1128 meV per atom
DOS at the Fermi energy: 0.397 states/eV/atom
size of the total moment: 0.000 μB/cell
crystal system: monoclinic
VASP energy: -6.109 eV per atom